[1]
First-principles (PBE-GGA) data for Ir2Rh after structural relaxation, as listed in Alexandria via LeMat-Bulk.

The calculated volume comes out at 52.2 Å³/cell. The calculation puts the density of states at the Fermi level at 2.213 states/eV/atom. As for the formation energy: 900 meV per atom.

Lattice parameters (Å, degrees): 4.3615 4.3615 2.7452 90.00 90.00 90.00
Space group P4/mmm (No. 123)
Inequivalent atoms, fractional coordinates:
1 Ir 0.0000 0.5000 0.0000
2 Rh 0.0000 0.0000 0.5000

=====

[2]
First-principles (PBE-GGA) data for PrNdHg after structural relaxation, as listed in Alexandria via LeMat-Bulk.

The calculated volume comes out at 373.8 Å³/cell. The calculation puts the density of states at the Fermi level at 0.716 states/eV/atom. As for the formation energy: -325 meV per atom.

Lattice parameters (Å, degrees): 7.2979 5.2877 9.6876 90.00 90.00 90.00
Space group Pnma (No. 62)
Inequivalent atoms, fractional coordinates:
1 Pr 0.0144 0.2500 0.1927
2 Nd 0.1696 0.2500 0.5765
3 Hg 0.2365 0.2500 0.8980

=====

[3]
First-principles (PBE-GGA) data for PuBiAs2 after structural relaxation, as listed in Alexandria via LeMat-Bulk.

The calculated volume comes out at 95.5 Å³/cell. The calculation puts the density of states at the Fermi level at 2.323 states/eV/atom. As for the formation energy: -333 meV per atom.

Lattice parameters (Å, degrees): 3.8909 3.8909 6.3053 90.00 90.00 90.00
Space group P4/mmm (No. 123)
Inequivalent atoms, fractional coordinates:
1 Pu 0.0000 0.0000 0.0000
2 Bi 0.0000 0.0000 0.5000
3 As 0.5000 0.5000 0.2127

=====

[4]
First-principles (PBE-GGA) data for Zn2AgGeOs after structural relaxation, as listed in Alexandria via LeMat-Bulk.

The calculated volume comes out at 106.5 Å³/cell. The calculation puts the density of states at the Fermi level at 1.122 states/eV/atom. As for the formation energy: 1442 meV per atom.

Lattice parameters (Å, degrees): 4.7179 4.7179 4.7826 90.00 90.00 90.00
Space group P4/mmm (No. 123)
Inequivalent atoms, fractional coordinates:
1 Zn 0.0000 0.5000 0.0000
2 Ag 0.0000 0.0000 0.0000
3 Ge 0.0000 0.0000 0.5000
4 Os 0.5000 0.5000 0.5000

=====

[5]
First-principles (PBE-GGA) data for Y2MnGeC after structural relaxation, as listed in Alexandria via LeMat-Bulk.

The calculated volume comes out at 91.9 Å³/cell. The calculation puts the density of states at the Fermi level at 0.576 states/eV/atom. As for the formation energy: -413 meV per atom.

Lattice parameters (Å, degrees): 4.9333 4.9333 3.7774 90.00 90.00 90.00
Space group P4/mmm (No. 123)
Inequivalent atoms, fractional coordinates:
1 Y 0.0000 0.5000 0.0000
2 Mn 0.0000 0.0000 0.5000
3 Ge 0.5000 0.5000 0.5000
4 C 0.0000 0.0000 0.0000

=====

[6]
First-principles (PBE-GGA) data for TbGd2Ni after structural relaxation, as listed in Alexandria via LeMat-Bulk.

The calculated volume comes out at 104.9 Å³/cell. The calculation puts the density of states at the Fermi level at 1.457 states/eV/atom. As for the formation energy: -135 meV per atom.

Lattice parameters (Å, degrees): 3.4945 3.4945 8.5896 90.00 90.00 90.00
Space group P4/mmm (No. 123)
Inequivalent atoms, fractional coordinates:
1 Tb 0.0000 0.0000 0.0000
2 Gd 0.5000 0.5000 0.3112
3 Ni 0.0000 0.0000 0.5000

=====

[7]
First-principles (PBE-GGA) data for Re2IrRu3 after structural relaxation, as listed in Alexandria via LeMat-Bulk.

The calculated volume comes out at 344.4 Å³/cell. The calculation puts the density of states at the Fermi level at 0.945 states/eV/atom. As for the formation energy: -8 meV per atom.

Lattice parameters (Å, degrees): 13.3559 5.4657 4.7185 90.00 90.11 90.00
Space group C2/c (No. 15)
Inequivalent atoms, fractional coordinates:
1 Re 0.1668 0.1270 0.4163
2 Ir 0.0000 0.3735 0.2500
3 Ru 0.0000 0.1247 0.7500
4 Ru 0.1685 0.3731 0.9152

=====

[8]
First-principles (PBE-GGA) data for Ho2Th3C4 after structural relaxation, as listed in Alexandria via LeMat-Bulk.

The calculated volume comes out at 360.2 Å³/cell. The calculation puts the density of states at the Fermi level at 0.493 states/eV/atom. As for the formation energy: -262 meV per atom.

Lattice parameters (Å, degrees): 6.3871 3.6875 15.2950 90.00 90.04 90.00
Space group C2/m (No. 12)
Inequivalent atoms, fractional coordinates:
1 Ho 0.1670 0.0000 0.1909
2 Th 0.0000 0.5000 0.0000
3 Th 0.1659 0.0000 0.6186
4 C 0.0006 0.5000 0.3048
5 C 0.1664 0.0000 0.8970

=====

[9]
First-principles (PBE-GGA) data for Ba2Hg2Ge after structural relaxation, as listed in Alexandria via LeMat-Bulk.

The calculated volume comes out at 377.0 Å³/cell. The calculation puts the density of states at the Fermi level at 0.989 states/eV/atom. As for the formation energy: -238 meV per atom.

Lattice parameters (Å, degrees): 6.6609 6.6609 8.4979 90.00 90.00 90.00
Space group I4/mmm (No. 139)
Inequivalent atoms, fractional coordinates:
1 Ba 0.0000 0.5000 0.2500
2 Hg 0.0000 0.0000 0.1663
3 Ge 0.0000 0.0000 0.5000

=====

[10]
First-principles (PBE-GGA) data for SiTe3Os after structural relaxation, as listed in Alexandria via LeMat-Bulk.

The calculated volume comes out at 142.1 Å³/cell. The formation energy from raw total energies is 0.991 eV per atom. The calculation puts the density of states at the Fermi level at 1.329 states/eV/atom.

Lattice parameters (Å, degrees): 5.2187 5.2187 5.2187 90.00 90.00 90.00
Space group Pm-3m (No. 221)
Inequivalent atoms, fractional coordinates:
1 Si 0.0000 0.0000 0.0000
2 Te 0.0000 0.5000 0.5000
3 Os 0.5000 0.5000 0.5000

=====

[11]
First-principles (PBE-GGA) data for BiIr3Pt after structural relaxation, as listed in Alexandria via LeMat-Bulk.

The calculated volume comes out at 113.9 Å³/cell. The calculation puts the density of states at the Fermi level at 1.421 states/eV/atom. As for the formation energy: 1634 meV per atom.

Lattice parameters (Å, degrees): 4.8479 4.8479 4.8479 90.00 90.00 90.00
Space group Pm-3m (No. 221)
Inequivalent atoms, fractional coordinates:
1 Bi 0.0000 0.0000 0.0000
2 Ir 0.0000 0.5000 0.5000
3 Pt 0.5000 0.5000 0.5000

=====

[12]
First-principles (PBE-GGA) data for BeCuRh2 after structural relaxation, as listed in Alexandria via LeMat-Bulk.

The calculated volume comes out at 101.0 Å³/cell. The calculation puts the density of states at the Fermi level at 1.218 states/eV/atom. As for the formation energy: 42 meV per atom.

Lattice parameters (Å, degrees): 2.7607 4.4824 8.1633 90.00 90.00 90.00
Space group Cmm2 (No. 35)
Inequivalent atoms, fractional coordinates:
1 Be 0.0000 0.0000 0.0000
2 Cu 0.0000 0.5000 0.2209
3 Rh 0.0000 0.0000 0.4915
4 Rh 0.0000 0.5000 0.7838